No. 1
K3ZnO | PBE | optimized geometry

Lattice parameters (Å, degrees): 5.427 5.427 5.427 90.00 90.00 90.00
Atoms (fractional coordinates):
Zn (0.500, 0.500, 0.500)
K (0.000, 0.500, 0.000)
K (0.000, 0.000, 0.500)
K (0.500, 0.000, 0.000)
O (0.000, 0.000, 0.000)

Offset from the most stable computed form   0 meV/atom
Electronic total energy   -2.379 eV per atom
Magnetization   0.09 μB/atom

No. 2
KZnO | PBE | optimized geometry

Lattice parameters (Å, degrees): 4.232 6.166 8.489 90.00 90.00 90.00
Atoms (fractional coordinates):
K (0.250, 0.425, 0.131)
K (0.750, 0.575, 0.869)
K (0.750, 0.075, 0.631)
K (0.250, 0.925, 0.369)
O (0.250, 0.808, 0.711)
O (0.750, 0.192, 0.289)
O (0.750, 0.692, 0.211)
O (0.250, 0.308, 0.789)
Zn (0.250, 0.518, 0.611)
Zn (0.750, 0.482, 0.389)
Zn (0.750, 0.982, 0.111)
Zn (0.250, 0.018, 0.889)

Offset from the most stable computed form   71 meV/atom
Electronic total energy   -3.438 eV per atom
Magnetization   0.00 μB/atom

No. 3
KZnO3 | PBE | optimized geometry

Lattice parameters (Å, degrees): 4.389 4.389 4.389 90.00 90.00 90.00
Atoms (fractional coordinates):
Zn (0.500, 0.500, 0.500)
K (0.000, 0.000, 0.000)
O (0.000, 0.500, 0.000)
O (0.000, 0.000, 0.500)
O (0.500, 0.000, 0.000)

Electronic total energy   -2.442 eV per atom
Magnetization   0.63 μB/atom